Compound: AcPuAu2
Source: the Alexandria database
Functional: PBE-GGA
Structure: optimized geometry

Cell: 5.358 5.358 5.358 Å, 60.00 60.00 60.00°
Fractional coordinates of all 4 atoms:
1 Ac 0.000 0.000 0.000
2 Pu 0.500 0.500 0.500
3 Au 0.250 0.250 0.250
4 Au 0.750 0.750 0.750

Values from the calculation:
Distance to the lowest polymorph of the same formula in kcal/mol of atoms: 0.36
Formation energy from the elements in meV/atom: -550
Total magnetization in μB per atom: 1.453